# Ca2ZrBr

A crystal of Ca2ZrBr relaxed with PBEsol (meta-GGA SCAN, the Alexandria database).

## Properties
The volume is 110.59 Å³ per cell. For the energy above the lowest structure with this stoichiometry, the calculation gives 0 meV/atom. Its symmetry is Imm2, No. 44. Its uncorrected formation energy is -217 meV per atom. Its electronic total energy is -1.293 Ry/atom.

Cell: 6.6255 6.6255 6.6255 Å, 150.59 128.69 60.25°
Fractional coordinates of all 4 atoms:
Ca 0.0000 0.0000 0.0000
Ca 0.6972 0.1972 0.5000
Zr 0.2736 0.7736 0.5000
Br 0.4708 0.4708 0.0000